{
  "formula": "RbAlInAg2",
  "functional": "GGA-PBE",
  "state": "relaxed",
  "cell": [[5.451, 0.000, 0.000], [0.000, 5.451, 0.000], [0.000, 0.000, 5.310]],
  "species": ["Rb", "Al", "In", "Ag", "Ag"],
  "frac_coords": [[0.000, 0.000, 0.000], [0.500, 0.500, 0.000], [0.500, 0.500, 0.500], [0.000, 0.500, 0.500], [0.500, 0.000, 0.500]],
  "e_form_ev_per_atom": 0.2982
}